# 1
## CdIn2Tc2 (PBE)

Data for crystalline CdIn2Tc2 at its relaxed geometry.

abc: 6.893 6.893 4.145
angles: 90.00 90.00 90.00
Space group P4/mbm (No. 127)
Inequivalent atoms, fractional coordinates:
1 Cd 0.000 0.000 0.000 [2 per cell]
2 In 0.173 0.327 0.500 [4 per cell]
3 Tc 0.121 0.621 0.000 [4 per cell]

Output
The value obtained for the formation energy from the elements is 288 meV/atom.

# 2
## CdInTc2 (PBE)

Data for crystalline CdInTc2 at its relaxed geometry.

abc: 2.858 4.698 5.319
angles: 90.00 96.47 90.00
Space group P2/m (No. 10)
Inequivalent atoms, fractional coordinates:
1 Cd 0.000 0.000 0.000 [1 per cell]
2 In 0.500 0.000 0.500 [1 per cell]
3 Tc 0.320 0.500 0.772 [2 per cell]

Output
The value obtained for the formation energy from the elements is 509 meV/atom. The value obtained for the distance to the lowest polymorph of the same formula is 0.411 eV per atom.

# 3
## CdInTc2 (PBE)

Data for crystalline CdInTc2 at its relaxed geometry.

abc: 5.614 9.256 2.825
angles: 90.00 108.50 90.00
Space group C2/m (No. 12)
Inequivalent atoms, fractional coordinates:
1 Cd 0.000 0.000 0.000 [2 per cell]
2 In 0.000 0.500 0.000 [2 per cell]
3 Tc 0.250 0.250 0.500 [4 per cell]

Output
The value obtained for the formation energy from the elements is 525 meV/atom. The value obtained for the distance to the lowest polymorph of the same formula is 0.427 eV per atom.

# 4
## CdInTc4 (PBE)

Data for crystalline CdInTc4 at its relaxed geometry.

abc: 7.430 7.430 7.430
angles: 90.00 90.00 90.00
Space group F-43m (No. 216)
Inequivalent atoms, fractional coordinates:
1 Cd 0.000 0.000 0.000 [4 per cell]
2 In 0.250 0.250 0.750 [4 per cell]
3 Tc 0.125 0.125 0.375 [16 per cell]

Output
The value obtained for the formation energy from the elements is 407 meV/atom.

# 5
## CdInTc2 (PBE)

Data for crystalline CdInTc2 at its relaxed geometry.

abc: 3.266 4.612 9.268
angles: 90.00 90.00 90.00
Space group Cmmm (No. 65)
Inequivalent atoms, fractional coordinates:
1 Cd 0.000 0.000 0.000 [2 per cell]
2 In 0.000 0.000 0.500 [2 per cell]
3 Tc 0.000 0.500 0.255 [4 per cell]

Output
The value obtained for the formation energy from the elements is 533 meV/atom. The value obtained for the distance to the lowest polymorph of the same formula is 0.436 eV per atom.

# 6
## CdInTc2 (PBE)

Data for crystalline CdInTc2 at its relaxed geometry.

abc: 9.928 3.031 4.917
angles: 90.00 106.04 90.00
Space group Cm (No. 8)
Inequivalent atoms, fractional coordinates:
1 Cd 0.000 0.000 0.000 [2 per cell]
2 In 0.275 0.500 0.285 [2 per cell]
3 Tc 0.034 0.500 0.531 [2 per cell]
4 Tc 0.239 0.000 0.753 [2 per cell]

Output
The value obtained for the formation energy from the elements is 385 meV/atom. The value obtained for the distance to the lowest polymorph of the same formula is 0.287 eV per atom.

# 7
## CdInTc2 (PBE)

Data for crystalline CdInTc2 at its relaxed geometry.

abc: 3.035 4.898 9.835
angles: 90.00 90.00 90.00
Space group Cmm2 (No. 35)
Inequivalent atoms, fractional coordinates:
1 Cd 0.000 0.000 0.000 [2 per cell]
2 In 0.000 0.500 0.709 [2 per cell]
3 Tc 0.000 0.000 0.458 [2 per cell]
4 Tc 0.000 0.500 0.253 [2 per cell]

Output
The value obtained for the formation energy from the elements is 404 meV/atom. The value obtained for the distance to the lowest polymorph of the same formula is 0.306 eV per atom.

# 8
## CdInTc2 (PBE)

Data for crystalline CdInTc2 at its relaxed geometry.

abc: 4.096 4.096 8.433
angles: 90.00 90.00 90.00
Space group I4/mmm (No. 139)
Inequivalent atoms, fractional coordinates:
1 Cd 0.000 0.000 0.000 [2 per cell]
2 In 0.000 0.000 0.500 [2 per cell]
3 Tc 0.000 0.500 0.250 [4 per cell]

Output
The value obtained for the formation energy from the elements is 551 meV/atom. The value obtained for the distance to the lowest polymorph of the same formula is 0.454 eV per atom.

# 9
## CdInTc2 (PBE)

Data for crystalline CdInTc2 at its relaxed geometry.

abc: 3.353 3.353 6.288
angles: 90.00 90.00 90.00
Space group P4/mmm (No. 123)
Inequivalent atoms, fractional coordinates:
1 Cd 0.000 0.000 0.000 [1 per cell]
2 In 0.000 0.000 0.500 [1 per cell]
3 Tc 0.500 0.500 0.261 [2 per cell]

Output
The value obtained for the formation energy from the elements is 584 meV/atom. The value obtained for the distance to the lowest polymorph of the same formula is 0.486 eV per atom.

# 10
## CdInTc2 (PBE)

Data for crystalline CdInTc2 at its relaxed geometry.

abc: 7.560 7.560 5.404
angles: 90.00 90.00 90.00
Space group I-42d (No. 122)
Inequivalent atoms, fractional coordinates:
1 Cd 0.000 0.000 0.000 [4 per cell]
2 In 0.000 0.000 0.500 [4 per cell]
3 Tc 0.245 0.250 0.625 [8 per cell]

Output
The value obtained for the formation energy from the elements is 956 meV/atom. The value obtained for the distance to the lowest polymorph of the same formula is 0.859 eV per atom.

# 11
## CdInTc2 (PBE)

Data for crystalline CdInTc2 at its relaxed geometry.

abc: 3.290 4.566 4.626
angles: 90.00 90.00 90.00
Space group Pmmm (No. 47)
Inequivalent atoms, fractional coordinates:
1 Cd 0.000 0.000 0.000 [1 per cell]
2 In 0.500 0.500 0.000 [1 per cell]
3 Tc 0.000 0.500 0.500 [1 per cell]
4 Tc 0.500 0.000 0.500 [1 per cell]

Output
The value obtained for the formation energy from the elements is 519 meV/atom. The value obtained for the distance to the lowest polymorph of the same formula is 0.421 eV per atom.

# 12
## CdInTc2 (PBE)

Data for crystalline CdInTc2 at its relaxed geometry.

abc: 6.561 6.561 6.561
angles: 90.00 90.00 90.00
Space group Fm-3m (No. 225)
Inequivalent atoms, fractional coordinates:
1 Cd 0.000 0.000 0.000 [4 per cell]
2 In 0.000 0.000 0.500 [4 per cell]
3 Tc 0.250 0.250 0.250 [8 per cell]

Output
The value obtained for the formation energy from the elements is 582 meV/atom. The value obtained for the distance to the lowest polymorph of the same formula is 0.485 eV per atom.

# 13
## CdInTc2 (PBE)

Data for crystalline CdInTc2 at its relaxed geometry.

abc: 3.304 4.559 9.236
angles: 90.00 90.00 90.00
Space group Immm (No. 71)
Inequivalent atoms, fractional coordinates:
1 Cd 0.000 0.000 0.000 [2 per cell]
2 In 0.000 0.000 0.500 [2 per cell]
3 Tc 0.000 0.500 0.247 [4 per cell]

Output
The value obtained for the formation energy from the elements is 513 meV/atom. The value obtained for the distance to the lowest polymorph of the same formula is 0.416 eV per atom.

# 14
## Cd3InTc (PBE)

Data for crystalline Cd3InTc at its relaxed geometry.

abc: 5.296 5.296 5.296
angles: 90.00 90.00 90.00
Space group Pm-3m (No. 221)
Inequivalent atoms, fractional coordinates:
1 Cd 0.000 0.000 0.500 [3 per cell]
2 In 0.500 0.500 0.500 [1 per cell]
3 Tc 0.000 0.000 0.000 [1 per cell]

Output
The value obtained for the formation energy from the elements is 734 meV/atom. The value obtained for the distance to the lowest polymorph of the same formula is 0.000 eV per atom.

# 15
## CdInTc2 (PBE)

Data for crystalline CdInTc2 at its relaxed geometry.

abc: 2.995 2.995 8.216
angles: 90.00 90.00 90.00
Space group P4mm (No. 99)
Inequivalent atoms, fractional coordinates:
1 Cd 0.000 0.000 0.000 [1 per cell]
2 In 0.500 0.500 0.317 [1 per cell]
3 Tc 0.000 0.000 0.569 [1 per cell]
4 Tc 0.500 0.500 0.744 [1 per cell]

Output
The value obtained for the formation energy from the elements is 117 meV/atom. The value obtained for the distance to the lowest polymorph of the same formula is 0.019 eV per atom.

# 16
## CdInTc2 (PBE)

Data for crystalline CdInTc2 at its relaxed geometry.

abc: 3.036 2.963 8.470
angles: 90.00 100.25 90.00
Space group Pm (No. 6)
Inequivalent atoms, fractional coordinates:
1 Cd 0.000 0.000 0.000 [1 per cell]
2 In 0.834 0.500 0.672 [1 per cell]
3 Tc 0.210 0.000 0.423 [1 per cell]
4 Tc 0.625 0.500 0.253 [1 per cell]

Output
The value obtained for the formation energy from the elements is 98 meV/atom. The value obtained for the distance to the lowest polymorph of the same formula is 0.000 eV per atom.

# 17
## Cd2In4Tc (PBE)

Data for crystalline Cd2In4Tc at its relaxed geometry.

abc: 5.362 5.362 14.079
angles: 90.00 90.00 90.00
Space group I4/mmm (No. 139)
Inequivalent atoms, fractional coordinates:
1 Cd 0.000 0.000 0.115 [4 per cell]
2 In 0.000 0.000 0.316 [4 per cell]
3 In 0.000 0.500 0.000 [4 per cell]
4 Tc 0.000 0.000 0.500 [2 per cell]

Output
The value obtained for the formation energy from the elements is 311 meV/atom.

# 18
## Y2CdInTc (PBE)

Data for crystalline Y2CdInTc at its relaxed geometry.

abc: 5.683 5.683 5.052
angles: 90.00 90.00 90.00
Space group P4/mmm (No. 123)
Inequivalent atoms, fractional coordinates:
1 Y 0.000 0.500 0.000 [2 per cell]
2 Cd 0.000 0.000 0.500 [1 per cell]
3 In 0.000 0.000 0.000 [1 per cell]
4 Tc 0.500 0.500 0.500 [1 per cell]

Output
The value obtained for the formation energy from the elements is 1080 meV/atom.

# 19
## CdIn2Te2 (PBE)

Data for crystalline CdIn2Te2 at its relaxed geometry.

abc: 8.581 8.581 4.228
angles: 90.00 90.00 90.00
Space group P4/mbm (No. 127)
Inequivalent atoms, fractional coordinates:
1 Cd 0.000 0.000 0.000 [2 per cell]
2 In 0.132 0.368 0.500 [4 per cell]
3 Te 0.178 0.678 0.000 [4 per cell]

Output
As for the uncorrected formation energy: -0.086 eV per atom. The value obtained for the distance to the lowest polymorph of the same formula is 0.009 eV per atom.

# 20
## CdInTe (PBE)

Data for crystalline CdInTe at its relaxed geometry.

abc: 3.696 5.285 17.125
angles: 90.00 90.00 90.00
Space group Fmm2 (No. 42)
Inequivalent atoms, fractional coordinates:
1 Cd 0.000 0.000 0.000 [4 per cell]
2 In 0.000 0.000 0.663 [4 per cell]
3 Te 0.000 0.000 0.333 [4 per cell]

Output
As for the uncorrected formation energy: 0.063 eV per atom. The value obtained for the distance to the lowest polymorph of the same formula is 0.219 eV per atom.

# 21
## Cd3InTe4 (PBE)

Data for crystalline Cd3InTe4 at its relaxed geometry.

abc: 6.722 6.722 6.722
angles: 90.00 90.00 90.00
Space group P-43m (No. 215)
Inequivalent atoms, fractional coordinates:
1 Cd 0.000 0.000 0.500 [3 per cell]
2 In 0.500 0.500 0.500 [1 per cell]
3 Te 0.244 0.244 0.756 [4 per cell]

Output
As for the uncorrected formation energy: -0.361 eV per atom.

# 22
## CdIn3Te (PBE)

Data for crystalline CdIn3Te at its relaxed geometry.

abc: 5.517 5.517 5.517
angles: 90.00 90.00 90.00
Space group Pm-3m (No. 221)
Inequivalent atoms, fractional coordinates:
1 Cd 0.000 0.000 0.000 [1 per cell]
2 In 0.000 0.000 0.500 [3 per cell]
3 Te 0.500 0.500 0.500 [1 per cell]

Output
As for the uncorrected formation energy: 0.161 eV per atom. The value obtained for the distance to the lowest polymorph of the same formula is 0.000 eV per atom.

# 23
## Cd5In12Te3 (PBE)

Data for crystalline Cd5In12Te3 at its relaxed geometry.

abc: 17.663 17.663 17.663
angles: 90.00 90.00 90.00
Space group Ia-3d (No. 230)
Inequivalent atoms, fractional coordinates:
1 Cd 0.000 0.000 0.000 [16 per cell]
2 Cd 0.000 0.250 0.375 [24 per cell]
3 In 0.012 0.070 0.652 [96 per cell]
4 Te 0.000 0.250 0.125 [24 per cell]

Output
As for the uncorrected formation energy: 0.117 eV per atom.

# 24
## CdInTe3 (PBE)

Data for crystalline CdInTe3 at its relaxed geometry.

abc: 5.662 5.662 5.662
angles: 90.00 90.00 90.00
Space group Pm-3m (No. 221)
Inequivalent atoms, fractional coordinates:
1 Cd 0.000 0.000 0.000 [1 per cell]
2 In 0.500 0.500 0.500 [1 per cell]
3 Te 0.000 0.000 0.500 [3 per cell]

Output
As for the uncorrected formation energy: 0.277 eV per atom. The value obtained for the distance to the lowest polymorph of the same formula is 0.442 eV per atom.

| no. | magnetic moment (μB per cell) | DOS at the Fermi energy (states/eV/f.u.) |
| --- | --- | --- |
| 1 | 0.0 | 2.1 |
| 2 | 0.0 | 4.0 |
| 3 | 0.0 | 3.9 |
| 4 | 0.0 | 6.1 |
| 5 | 0.0 | 3.9 |
| 6 | 0.0 | 4.0 |
| 7 | 0.0 | 3.1 |
| 8 | 5.8 | 4.7 |
| 9 | 2.9 | 4.1 |
| 10 | 10.0 | 3.9 |
| 11 | 0.0 | 3.8 |
| 12 | 12.6 | 3.9 |
| 13 | 0.0 | 3.6 |
| 14 | 1.3 | 4.2 |
| 15 | 0.0 | 3.3 |
| 16 | 0.0 | 2.6 |
| 17 | 0.9 | 3.9 |
| 18 | 2.1 | 4.8 |
| 19 | 0.0 | 2.6 |
| 20 | 0.0 | 1.4 |
| 21 | 0.0 | 2.3 |
| 22 | 0.0 | 1.6 |
| 23 | 0.0 | 12.9 |
| 24 | 0.0 | 4.9 |